# TlIrSe2 | the Alexandria database | GGA-PBE | optimized geometry
# Raw formation energy   -0.029 eV/atom
# Size of the total moment   0.000 μB per atom
# Energy above the most stable polymorph in this dataset   0.278 eV/atom
data_TlIrSe2
_cell_length_a 3.619
_cell_length_b 6.234
_cell_length_c 9.388
_cell_angle_alpha 90.00
_cell_angle_beta 90.00
_cell_angle_gamma 90.00
_symmetry_space_group_name_H-M 'I m m m'
_symmetry_Int_Tables_number 71
_symmetry_space_group_name_Hall '-I 2 2'
loop_
_atom_site_label
_atom_site_fract_x
_atom_site_fract_y
_atom_site_fract_z
Tl1 0.000 0.000 0.000
Ir1 0.000 0.000 0.500
Se1 0.000 0.500 0.172

# TiMoS3 | the Alexandria database | GGA-PBE | optimized geometry
# Raw formation energy   0.103 eV/atom
# Size of the total moment   0.789 μB per atom
# Energy above the most stable polymorph in this dataset   1.179 eV/atom
data_TiMoS3
_cell_length_a 4.661
_cell_length_b 4.661
_cell_length_c 4.661
_cell_angle_alpha 90.00
_cell_angle_beta 90.00
_cell_angle_gamma 90.00
_symmetry_space_group_name_H-M 'P m -3 m'
_symmetry_Int_Tables_number 221
_symmetry_space_group_name_Hall '-P 4 2 3'
loop_
_atom_site_label
_atom_site_fract_x
_atom_site_fract_y
_atom_site_fract_z
Ti1 0.000 0.000 0.000
Mo1 0.500 0.500 0.500
S1 0.000 0.000 0.500

# BaMgFe2Pt | the Alexandria database | GGA-PBE | optimized geometry
# Size of the total moment   1.132 μB per atom
# Energy above the most stable polymorph in this dataset   0.000 eV/atom
data_BaMgFe2Pt
_cell_length_a 4.844
_cell_length_b 4.844
_cell_length_c 5.023
_cell_angle_alpha 90.00
_cell_angle_beta 90.00
_cell_angle_gamma 90.00
_symmetry_space_group_name_H-M 'P 4/m m m'
_symmetry_Int_Tables_number 123
_symmetry_space_group_name_Hall '-P 4 2'
loop_
_atom_site_label
_atom_site_fract_x
_atom_site_fract_y
_atom_site_fract_z
Ba1 0.000 0.000 0.000
Mg1 0.500 0.500 0.500
Fe1 0.000 0.500 0.500
Pt1 0.500 0.500 0.000

# Sm3Al7Cu2 | the Alexandria database | GGA-PBE | optimized geometry
# Size of the total moment   0.000 μB per atom
# E_tot   -106.6 eV/cell
data_Sm3Al7Cu2
_cell_length_a 4.275
_cell_length_b 27.261
_cell_length_c 4.137
_cell_angle_alpha 90.00
_cell_angle_beta 90.00
_cell_angle_gamma 90.00
_symmetry_space_group_name_H-M 'C m m m'
_symmetry_Int_Tables_number 65
_symmetry_space_group_name_Hall '-C 2 2'
loop_
_atom_site_label
_atom_site_fract_x
_atom_site_fract_y
_atom_site_fract_z
Sm1 0.000 0.000 0.000
Sm2 0.000 0.176 0.000
Al1 0.000 0.084 0.500
Al2 0.000 0.275 0.500
Al3 0.000 0.416 0.000
Al4 0.000 0.500 0.500
Cu1 0.000 0.363 0.500

# TaCl3 | the Alexandria database | GGA-PBE | optimized geometry
# Raw formation energy   0.383 eV/atom
# Size of the total moment   0.497 μB per atom
data_TaCl3
_cell_length_a 4.223
_cell_length_b 4.223
_cell_length_c 4.223
_cell_angle_alpha 90.00
_cell_angle_beta 90.00
_cell_angle_gamma 90.00
_symmetry_space_group_name_H-M 'P m -3 m'
_symmetry_Int_Tables_number 221
_symmetry_space_group_name_Hall '-P 4 2 3'
loop_
_atom_site_label
_atom_site_fract_x
_atom_site_fract_y
_atom_site_fract_z
Ta1 0.000 0.000 0.000
Cl1 0.000 0.500 0.500

# Ac2La3Sm3 | the Alexandria database | GGA-PBE | optimized geometry
# Size of the total moment   0.000 μB per atom
# Energy above the most stable polymorph in this dataset   0.085 eV/atom
data_Ac2La3Sm3
_cell_length_a 3.716
_cell_length_b 17.637
_cell_length_c 18.767
_cell_angle_alpha 90.00
_cell_angle_beta 90.00
_cell_angle_gamma 90.00
_symmetry_space_group_name_H-M 'C m c m'
_symmetry_Int_Tables_number 63
_symmetry_space_group_name_Hall '-C 2c 2'
loop_
_atom_site_label
_atom_site_fract_x
_atom_site_fract_y
_atom_site_fract_z
Ac1 0.000 0.249 0.090
La1 0.000 0.029 0.646
La2 0.000 0.358 0.750
Sm1 0.000 0.335 0.250
Sm2 0.000 0.412 0.521

# LaZrTa2 | the Alexandria database | GGA-PBE | optimized geometry
# Size of the total moment   0.000 μB per atom
# Energy above the most stable polymorph in this dataset   0.233 eV/atom
data_LaZrTa2
_cell_length_a 2.995
_cell_length_b 4.841
_cell_length_c 6.279
_cell_angle_alpha 90.00
_cell_angle_beta 90.00
_cell_angle_gamma 90.00
_symmetry_space_group_name_H-M 'P m m m'
_symmetry_Int_Tables_number 47
loop_
_symmetry_equiv_pos_as_xyz
'x,y,z'
'-x,-y,-z'
'-x,-y,z'
'x,y,-z'
'x,-y,-z'
'-x,y,z'
'-x,y,-z'
'x,-y,z'
loop_
_atom_site_label
_atom_site_fract_x
_atom_site_fract_y
_atom_site_fract_z
La1 0.000 0.000 0.000
Zr1 0.000 0.000 0.500
Ta1 0.500 0.500 0.281

# HfTcO2 | the Alexandria database | GGA-PBE | optimized geometry
# Raw formation energy   -1.721 eV/atom
# Size of the total moment   0.347 μB per atom
# Energy above the most stable polymorph in this dataset   0.000 eV/atom
data_HfTcO2
_cell_length_a 3.2629
_cell_length_b 3.2629
_cell_length_c 17.7903
_cell_angle_alpha 90.00
_cell_angle_beta 90.00
_cell_angle_gamma 120.00
_symmetry_space_group_name_H-M 'R -3 m'
_symmetry_Int_Tables_number 166
_symmetry_space_group_name_Hall '-R 3 2"'
loop_
_atom_site_label
_atom_site_fract_x
_atom_site_fract_y
_atom_site_fract_z
Hf1 0.0000 0.0000 0.0000
Tc1 0.0000 0.0000 0.5000
O1 0.0000 0.0000 0.3831

# TlI3 | the Alexandria database | GGA-PBE | optimized geometry
# Raw formation energy   -0.319 eV/atom
# Size of the total moment   0.000 μB per atom
data_TlI3
_cell_length_a 10.636
_cell_length_b 6.607
_cell_length_c 9.890
_cell_angle_alpha 90.00
_cell_angle_beta 90.00
_cell_angle_gamma 90.00
_symmetry_space_group_name_H-M 'P n m a'
_symmetry_Int_Tables_number 62
loop_
_symmetry_equiv_pos_as_xyz
'x,y,z'
'-x,-y,-z'
'-x+1/2,-y,z+1/2'
'x+1/2,y,-z+1/2'
'x+1/2,-y+1/2,-z+1/2'
'-x+1/2,y+1/2,z+1/2'
'-x,y+1/2,-z'
'x,-y+1/2,z'
loop_
_atom_site_label
_atom_site_fract_x
_atom_site_fract_y
_atom_site_fract_z
Tl1 0.174 0.250 0.019
I1 0.080 0.750 0.266
I2 0.129 0.250 0.548
I3 0.152 0.750 0.853

# Tl2InNi | the Alexandria database | GGA-PBE | optimized geometry
# Size of the total moment   0.000 μB per atom
# E_tot   -50.3 eV/cell
data_Tl2InNi
_cell_length_a 9.239
_cell_length_b 9.239
_cell_length_c 5.055
_cell_angle_alpha 90.00
_cell_angle_beta 90.00
_cell_angle_gamma 90.00
_symmetry_space_group_name_H-M 'I -4 2 d'
_symmetry_Int_Tables_number 122
_symmetry_space_group_name_Hall 'I -4 2bw'
loop_
_atom_site_label
_atom_site_fract_x
_atom_site_fract_y
_atom_site_fract_z
Tl1 0.128 0.250 0.125
In1 0.000 0.000 0.500
Ni1 0.000 0.000 0.000

# CrIrC2 | the Alexandria database | GGA-PBE | optimized geometry
# Size of the total moment   0.000 μB per atom
# Energy above the most stable polymorph in this dataset   0.565 eV/atom
data_CrIrC2
_cell_length_a 5.243
_cell_length_b 5.243
_cell_length_c 5.243
_cell_angle_alpha 90.00
_cell_angle_beta 90.00
_cell_angle_gamma 90.00
_symmetry_space_group_name_H-M 'F m -3 m'
_symmetry_Int_Tables_number 225
_symmetry_space_group_name_Hall '-F 4 2 3'
loop_
_atom_site_label
_atom_site_fract_x
_atom_site_fract_y
_atom_site_fract_z
Cr1 0.000 0.000 0.000
Ir1 0.000 0.000 0.500
C1 0.250 0.250 0.250

# CaDyAl6 | the Alexandria database | GGA-PBE | optimized geometry
# Size of the total moment   0.000 μB per atom
# E_tot   -31.4 eV/cell
data_CaDyAl6
_cell_length_a 4.448
_cell_length_b 5.981
_cell_length_c 6.134
_cell_angle_alpha 90.00
_cell_angle_beta 90.00
_cell_angle_gamma 90.00
_symmetry_space_group_name_H-M 'P m m 2'
_symmetry_Int_Tables_number 25
loop_
_symmetry_equiv_pos_as_xyz
'x,y,z'
'-x,-y,z'
'-x,y,z'
'x,-y,z'
loop_
_atom_site_label
_atom_site_fract_x
_atom_site_fract_y
_atom_site_fract_z
Ca1 0.000 0.000 0.000
Dy1 0.500 0.500 0.211
Al1 0.000 0.253 0.467
Al2 0.000 0.500 0.855
Al3 0.500 0.000 0.365
Al4 0.500 0.256 0.740